1.
DFT (PBE-GGA) results for a geometry-optimized TaH2Se structure.

```
TaH2Se
1.0
3.746 0.000 0.000
0.000 3.746 0.000
1.873 1.873 6.769
Ta H Se
2 4 2
Cartesian
0.000 0.000 0.000
3.746 1.873 3.384
2.810 1.871 5.076
3.745 2.810 1.692
4.683 1.875 5.076
3.748 0.937 1.692
1.873 1.873 0.000
1.873 3.746 3.384
```

Properties
Density of states at the Fermi level, states/eV per atom: 0.591
Total magnetization, μB/f.u.: 0.0
Offset from the most stable computed form, eV/atom: 0.386
Crystal system: tetragonal


2.
DFT (PBE-GGA) results for a geometry-optimized Tb2TlSb structure.

```
Tb2TlSb
1.0
-1.226 3.096 2.183
-0.334 -2.374 3.179
6.580 1.387 1.728
Sb Tb Tl
1 2 1
Cartesian
-0.780 0.361 2.681
1.578 0.333 0.414
5.002 1.054 1.314
2.510 1.054 3.545
```

Properties
Formation energy (no corrections), kcal/mol of atoms: -14.18
Density of states at the Fermi level, states/eV per atom: 0.822
Total magnetization, μB/f.u.: 0.0
Offset from the most stable computed form, eV/atom: 0.114
Crystal system: tetragonal


3.
DFT (PBE-GGA) results for a geometry-optimized Cs2RbP2S6 structure.

```
Cs2RbP2S6
1.0
7.188 0.000 0.000
-3.594 6.510 -0.134
0.000 -3.879 8.726
S Cs P Rb
6 2 2 1
Cartesian
0.000 1.330 2.947
1.708 -2.533 7.071
1.886 5.165 1.521
5.480 -2.533 7.071
-1.886 5.165 1.521
3.594 1.301 5.645
0.000 0.775 6.886
3.594 1.857 1.706
3.594 3.190 6.270
0.000 -0.558 2.322
3.594 -1.939 4.363
```

Properties
Formation energy (no corrections), kcal/mol of atoms: -16.61
Density of states at the Fermi level, states/eV per atom: 0.355
Total magnetization, μB/f.u.: 1.0
Crystal system: monoclinic


4.
DFT (PBE-GGA) results for a geometry-optimized TbLuMnIn structure.

```
TbLuMnIn
1.0
5.154 0.000 0.000
2.577 4.464 0.000
2.577 1.488 4.208
Mn Tb In Lu
1 1 1 1
Cartesian
0.000 0.000 0.000
2.577 1.488 1.052
5.154 2.976 2.104
7.731 4.464 3.156
```

Properties
Density of states at the Fermi level, states/eV per atom: 1.122
Total magnetization, μB/f.u.: 3.4
ΔH_f (0 K), eV/atom: -0.0948
Crystal system: cubic


5.
DFT (PBE-GGA) results for a geometry-optimized Tb2GdAu structure.

```
Tb2GdAu
1.0
-3.097 1.471 -1.314
-2.604 -2.166 -1.418
-6.173 -1.072 8.216
Tb Gd Au
2 1 1
Cartesian
-2.800 -0.408 1.010
-9.074 -1.358 4.473
-5.937 -0.883 2.742
0.000 0.000 0.000
```

Properties
Density of states at the Fermi level, states/eV per atom: 1.377
Total magnetization, μB/f.u.: 7.5
ΔH_f (0 K), eV/atom: -0.2674
Offset from the most stable computed form, eV/atom: 0.122
Crystal system: trigonal


6.
DFT (PBE-GGA) results for a geometry-optimized BeP2Pb structure.

```
BeP2Pb
1.0
-3.323 -2.982 1.080
2.950 0.188 3.520
-2.329 1.278 3.754
Pb P Be
1 2 1
Cartesian
0.311 0.733 3.637
0.000 0.000 0.000
-2.826 -0.852 2.417
-0.187 -1.397 2.300
```

Properties
Density of states at the Fermi level, states/eV per atom: 0.279
Total magnetization, μB/f.u.: 0.0
ΔH_f (0 K), eV/atom: 0.5914
Crystal system: tetragonal


7.
DFT (PBE-GGA) results for a geometry-optimized YCoP2Os structure.

```
YCoP2Os
1.0
5.075 0.000 0.000
0.000 5.103 0.000
0.000 0.000 5.075
Os Co P Y
1 1 2 1
Cartesian
0.000 2.551 0.000
2.538 2.551 2.538
2.538 0.000 0.000
0.000 0.000 2.538
0.000 0.000 0.000
```

Properties
Density of states at the Fermi level, states/eV per atom: 2.583
Total magnetization, μB/f.u.: 2.0
ΔH_f (0 K), eV/atom: 2.1777
Offset from the most stable computed form, eV/atom: 1.993
Crystal system: tetragonal


8.
DFT (PBE-GGA) results for a geometry-optimized LiEuPaOs structure.

```
LiEuPaOs
1.0
-3.233 -1.323 -3.485
1.287 -3.300 -3.435
-1.977 -4.521 0.057
Os Eu Pa Li
1 1 1 1
Cartesian
-1.962 -4.572 -3.431
-0.981 -2.286 -1.716
-2.942 -6.858 -5.147
0.000 0.000 0.000
```

Properties
Density of states at the Fermi level, states/eV per atom: 1.291
Total magnetization, μB/f.u.: 6.6
ΔH_f (0 K), eV/atom: 0.1406
Crystal system: cubic


9.
DFT (PBE-GGA) results for a geometry-optimized CeNd3Tm6 structure.

```
CeNd3Tm6
1.0
3.546 0.000 0.000
0.000 15.288 -1.467
0.000 -6.439 12.455
Tm Nd Ce
12 6 2
Cartesian
2.660 5.027 8.426
2.660 8.387 7.253
2.660 4.575 -0.278
0.887 3.821 2.562
0.887 0.462 3.735
0.887 -4.444 10.405
0.887 -1.375 9.295
2.660 10.224 1.693
2.660 -0.260 6.628
0.887 9.109 4.359
0.887 4.273 11.266
2.660 13.293 0.582
0.887 7.532 10.106
0.887 2.822 6.339
2.660 1.316 0.882
0.887 7.274 1.155
2.660 1.574 9.832
2.660 6.027 4.649
0.887 12.551 3.501
2.660 -3.702 7.487
```

Properties
Density of states at the Fermi level, states/eV per atom: 1.563
Total magnetization, μB/f.u.: 0.4
ΔH_f (0 K), eV/atom: 0.0977
Offset from the most stable computed form, eV/atom: 0.000
Crystal system: monoclinic


10.
DFT (PBE-GGA) results for a geometry-optimized RbPuBi structure.

```
RbPuBi
1.0
4.325 0.000 0.000
0.000 4.325 0.000
-2.162 -2.162 6.962
Rb Pu Bi
1 1 1
Cartesian
0.000 0.000 0.181
0.000 0.000 3.887
2.162 2.162 2.893
```

Properties
Density of states at the Fermi level, states/eV per atom: 5.177
Total magnetization, μB/f.u.: 6.0
ΔH_f (0 K), eV/atom: -0.0093
Crystal system: tetragonal


11.
DFT (PBE-GGA) results for a geometry-optimized Ta2SiMo structure.

```
Ta2SiMo
1.0
-1.898 -1.155 1.801
2.225 -1.784 -0.221
3.769 3.900 6.474
Ta Mo Si
2 1 1
Cartesian
1.935 2.002 3.324
3.719 3.848 6.387
1.106 -0.494 2.409
2.990 1.456 5.646
```

Properties
Formation energy (no corrections), kcal/mol of atoms: -4.52
Density of states at the Fermi level, states/eV per atom: 0.538
Total magnetization, μB/f.u.: 0.0
Crystal system: orthorhombic


12.
DFT (PBE-GGA) results for a geometry-optimized Tb3OsBr3 structure.

```
Tb3OsBr3
1.0
4.192 0.000 0.000
0.000 8.522 -0.100
0.000 0.430 11.885
Os Tb Br
2 6 6
Cartesian
3.144 8.372 6.946
1.048 0.580 4.839
3.144 8.042 9.698
1.048 6.537 7.065
1.048 0.910 2.087
3.144 7.401 4.217
1.048 1.551 7.568
3.144 2.415 4.720
1.048 6.043 10.075
3.144 7.448 1.107
3.144 3.991 7.432
1.048 4.961 4.353
3.144 2.909 1.710
1.048 1.504 10.678
```

Properties
Formation energy (no corrections), kcal/mol of atoms: -28.15
Density of states at the Fermi level, states/eV per atom: 0.474
Total magnetization, μB/f.u.: 0.0
Crystal system: monoclinic


no.,DFT total energy (eV per atom)
1,-5.37
2,-4.55
3,-4.20
4,-5.36
5,-6.92
6,-3.97
7,-4.95
8,-8.09
9,-4.61
10,-6.40
11,-10.19
12,-5.53